Entry 1:
The following is a DFT calculation (GGA-PBE) of a relaxed PrAgPbSe3 crystal.

The structure in POSCAR format:
```
PrAgPbSe3
1.0
9.356 -2.094 0.000
9.356 2.094 0.000
-2.032 0.000 8.448
Pr Ag Pb Se
2 2 2 6
direct
0.164 0.164 0.093
0.836 0.836 0.907
0.467 0.467 0.787
0.533 0.533 0.213
0.129 0.129 0.574
0.871 0.871 0.426
0.000 0.000 0.000
0.319 0.319 0.659
0.329 0.329 0.149
0.500 0.500 0.500
0.671 0.671 0.851
0.681 0.681 0.341
```

Properties
For the distance to the lowest polymorph of the same formula, the calculation gives 12.1 meV per atom. As for the symmetry: C2/m.


Entry 2:
The following is a DFT calculation (GGA-PBE) of a relaxed GaFeSi17Ge13 crystal.

The structure in POSCAR format:
```
GaFeSi17Ge13
1.0
5.585 0.000 0.000
0.000 3.929 0.000
-0.128 0.000 31.376
Ga Fe Si Ge
1 1 17 13
direct
0.000 0.000 0.000
0.248 0.000 0.063
0.240 0.000 0.184
0.241 0.000 0.685
0.242 0.000 0.436
0.247 0.000 0.937
0.464 0.500 0.062
0.480 0.500 0.186
0.481 0.500 0.437
0.482 0.500 0.936
0.484 0.500 0.686
0.492 0.500 0.810
0.730 0.500 0.748
0.731 0.500 0.247
0.731 0.500 0.497
0.741 0.500 0.626
0.983 0.000 0.625
0.991 0.000 0.375
0.996 0.000 0.122
0.231 0.000 0.312
0.231 0.000 0.562
0.243 0.000 0.810
0.493 0.500 0.310
0.495 0.500 0.562
0.721 0.500 0.000
0.731 0.500 0.874
0.736 0.500 0.123
0.741 0.500 0.376
0.981 0.000 0.246
0.982 0.000 0.497
0.982 0.000 0.747
0.992 0.000 0.875
```

Properties
As for the symmetry: Pm. The electronic total energy comes out at -160.85 eV for the cell shown.


Entry 3:
The following is a DFT calculation (GGA-PBE) of a relaxed NbHgTe crystal.

The structure in POSCAR format:
```
NbHgTe
1.0
0.000 3.373 3.373
3.373 0.000 3.373
3.373 3.373 0.000
Nb Hg Te
1 1 1
direct
0.000 0.000 0.000
0.500 0.500 0.500
0.750 0.750 0.750
```

Properties
For the distance to the lowest polymorph of the same formula, the calculation gives 323.0 meV per atom. As for the symmetry: F-43m.


Entry 4:
The following is a DFT calculation (GGA-PBE) of a relaxed LuBeGe crystal.

The structure in POSCAR format:
```
LuBeGe
1.0
0.000 3.186 3.186
3.186 0.000 3.186
3.186 3.186 0.000
Lu Be Ge
1 1 1
direct
0.000 0.000 0.000
0.750 0.750 0.750
0.250 0.250 0.250
```

Properties
As for the symmetry: F-43m. The electronic total energy comes out at -11.93 eV for the cell shown.


Entry 5:
The following is a DFT calculation (GGA-PBE) of a relaxed Nd2GdSe3 crystal.

The structure in POSCAR format:
```
Nd2GdSe3
1.0
4.175 0.000 0.000
-2.088 3.616 0.000
0.000 0.000 10.297
Nd Gd Se
2 1 3
direct
0.333 0.667 0.169
0.667 0.333 0.831
0.000 0.000 0.500
0.000 0.000 0.000
0.333 0.667 0.658
0.667 0.333 0.342
```

Properties
As for the symmetry: P-3m1. The electronic total energy comes out at -35.59 eV for the cell shown.


Entry 6:
The following is a DFT calculation (GGA-PBE) of a relaxed KHfAgSeS2 crystal.

The structure in POSCAR format:
```
KHfAgSeS2
1.0
8.170 0.000 0.000
0.000 3.890 0.000
-3.385 0.000 9.372
K Hf Ag Se S
2 2 2 2 4
direct
0.246 0.250 0.203
0.754 0.750 0.797
0.196 0.750 0.663
0.804 0.250 0.337
0.429 0.250 0.895
0.571 0.750 0.105
0.053 0.750 0.369
0.947 0.250 0.631
0.233 0.750 0.924
0.390 0.250 0.636
0.610 0.750 0.364
0.767 0.250 0.076
```

Properties
For the distance to the lowest polymorph of the same formula, the calculation gives 46.1 meV per atom. As for the symmetry: P2_1/m.


Entry 7:
The following is a DFT calculation (GGA-PBE) of a relaxed CsPrGaSe3 crystal.

The structure in POSCAR format:
```
CsPrGaSe3
1.0
11.743 0.000 0.000
0.000 4.840 0.000
0.000 0.000 12.972
Cs Pr Ga Se
4 4 4 12
direct
0.167 0.250 0.005
0.333 0.750 0.505
0.667 0.250 0.495
0.833 0.750 0.995
0.025 0.250 0.334
0.475 0.750 0.834
0.525 0.250 0.166
0.975 0.750 0.666
0.233 0.250 0.725
0.267 0.750 0.225
0.733 0.250 0.775
0.767 0.750 0.275
0.056 0.750 0.190
0.102 0.250 0.560
0.209 0.750 0.789
0.291 0.250 0.289
0.398 0.750 0.060
0.444 0.250 0.690
0.556 0.750 0.310
0.602 0.250 0.940
0.709 0.750 0.711
0.791 0.250 0.211
0.898 0.750 0.440
0.944 0.250 0.810
```

Properties
For the distance to the lowest polymorph of the same formula, the calculation gives 13.7 meV per atom. As for the symmetry: Pnma.


Entry 8:
The following is a DFT calculation (GGA-PBE) of a relaxed MoI crystal.

The structure in POSCAR format:
```
MoI
1.0
0.000 2.938 2.938
2.938 0.000 2.938
2.938 2.938 0.000
Mo I
1 1
direct
0.000 0.000 0.000
0.500 0.500 0.500
```

Properties
For the distance to the lowest polymorph of the same formula, the calculation gives 495.5 meV per atom. As for the symmetry: Fm-3m.


Entry 9:
The following is a DFT calculation (GGA-PBE) of a relaxed LiYSiPt crystal.

The structure in POSCAR format:
```
LiYSiPt
1.0
0.000 3.316 3.316
3.316 0.000 3.316
3.316 3.316 0.000
Li Y Si Pt
1 1 1 1
direct
0.000 0.000 0.000
0.500 0.500 0.500
0.250 0.250 0.250
0.750 0.750 0.750
```

Properties
For the distance to the lowest polymorph of the same formula, the calculation gives 219.1 meV per atom. As for the symmetry: F-43m.


Entry 10:
The following is a DFT calculation (GGA-PBE) of a relaxed Nb2Sn2Pd3 crystal.

The structure in POSCAR format:
```
Nb2Sn2Pd3
1.0
2.262 1.306 7.336
-2.262 1.306 7.336
0.000 -2.611 7.336
Nb Sn Pd
2 2 3
direct
0.000 0.000 0.000
0.482 0.482 0.482
0.251 0.251 0.251
0.737 0.737 0.737
0.123 0.123 0.123
0.613 0.613 0.613
0.871 0.871 0.871
```

Properties
As for the symmetry: R3m. The electronic total energy comes out at -45.14 eV for the cell shown.


Entry 11:
The following is a DFT calculation (GGA-PBE) of a relaxed NaUGe crystal.

The structure in POSCAR format:
```
NaUGe
1.0
0.000 3.329 3.329
3.329 0.000 3.329
3.329 3.329 0.000
Na U Ge
1 1 1
direct
0.000 0.000 0.000
0.250 0.250 0.250
0.750 0.750 0.750
```

Properties
As for the symmetry: F-43m. The electronic total energy comes out at -14.74 eV for the cell shown.


Entry 12:
The following is a DFT calculation (GGA-PBE) of a relaxed CoSe6Cl2 crystal.

The structure in POSCAR format:
```
CoSe6Cl2
1.0
4.800 0.000 0.000
0.000 8.493 0.000
-2.838 0.000 13.009
Co Se Cl
2 12 4
direct
0.000 0.000 0.000
0.000 0.500 0.500
0.010 0.132 0.361
0.010 0.368 0.861
0.156 0.742 0.993
0.156 0.758 0.493
0.186 0.122 0.647
0.186 0.378 0.147
0.814 0.622 0.853
0.814 0.878 0.353
0.844 0.242 0.507
0.844 0.258 0.007
0.990 0.632 0.139
0.990 0.868 0.639
0.342 0.027 0.135
0.342 0.473 0.635
0.658 0.527 0.365
0.658 0.973 0.865
```

Properties
As for the symmetry: P2_1/c. The electronic total energy comes out at -65.95 eV for the cell shown.